Entry 1:
Density functional theory data (PBE-GGA) for an optimized crystal structure of LaHgS2.

Geometry as extended XYZ:
```
4
Lattice="2.074 1.197 8.157 -2.074 1.197 8.157 0.000 -2.394 8.157" Properties=species:S:1:pos:R:3 pbc="T T T"
La 0.000 0.000 0.000
Hg 0.000 0.000 12.235
S 0.000 0.000 2.662
S 0.000 0.000 21.808
```


Entry 2:
Density functional theory data (PBE-GGA) for an optimized crystal structure of La2HgS2.

Excess energy over the best structure of this formula in the dataset, meV/atom: 95

Geometry as extended XYZ:
```
5
Lattice="-2.419 2.419 6.792 2.419 -2.419 6.792 2.419 2.419 -6.792" Properties=species:S:1:pos:R:3 pbc="T T T"
La 0.000 0.000 1.980
La 0.000 0.000 11.604
Hg 0.000 0.000 6.792
S 2.419 0.000 3.396
S 0.000 2.419 3.396
```


Entry 3:
Density functional theory data (PBE-GGA) for an optimized crystal structure of La4Hg2S.

Excess energy over the best structure of this formula in the dataset, meV/atom: 101

Geometry as extended XYZ:
```
7
Lattice="-2.768 2.768 7.715 2.768 -2.768 7.715 2.768 2.768 -7.715" Properties=species:S:1:pos:R:3 pbc="T T T"
La 2.768 0.000 0.000
La 0.000 0.000 2.876
La 0.000 2.768 0.000
La 0.000 0.000 12.553
Hg 0.000 0.000 5.942
Hg 0.000 0.000 9.487
S 0.000 0.000 0.000
```


Entry 4:
Density functional theory data (PBE-GGA) for an optimized crystal structure of LaHg3S.

Excess energy over the best structure of this formula in the dataset, meV/atom: 0

Geometry as extended XYZ:
```
5
Lattice="5.232 0.000 0.000 0.000 5.232 0.000 0.000 0.000 5.232" Properties=species:S:1:pos:R:3 pbc="T T T"
La 0.000 0.000 0.000
Hg 0.000 2.616 2.616
Hg 2.616 0.000 2.616
Hg 2.616 2.616 0.000
S 2.616 2.616 2.616
```


Entry 5:
Density functional theory data (PBE-GGA) for an optimized crystal structure of La2HgS.

Excess energy over the best structure of this formula in the dataset, meV/atom: 309

Geometry as extended XYZ:
```
8
Lattice="-3.978 3.978 3.975 3.978 -3.978 3.975 3.978 3.978 -3.975" Properties=species:S:1:pos:R:3 pbc="T T T"
La 1.989 1.717 -0.994
La 2.261 -1.989 4.969
La 1.989 2.261 2.982
La 1.717 5.967 0.994
Hg 3.978 0.000 1.988
Hg 0.000 0.000 3.975
S 0.000 0.000 0.000
S 0.000 3.978 1.988
```


Entry 6:
Density functional theory data (PBE-GGA) for an optimized crystal structure of La4Hg2S.

Excess energy over the best structure of this formula in the dataset, meV/atom: 0

Geometry as extended XYZ:
```
7
Lattice="6.723 -2.110 0.000 6.723 2.110 0.000 -4.947 0.000 7.693" Properties=species:S:1:pos:R:3 pbc="T T T"
La -0.659 0.000 2.815
La -0.056 0.000 7.108
La 8.554 0.000 0.585
La 9.158 0.000 4.878
Hg 3.427 0.000 2.493
Hg 5.072 0.000 5.200
S 0.000 0.000 0.000
```


Entry 7:
Density functional theory data (PBE-GGA) for an optimized crystal structure of La4HgSe2S.

Geometry as extended XYZ:
```
8
Lattice="7.554 0.000 0.000 0.000 4.289 0.000 -2.476 0.000 7.155" Properties=species:S:1:pos:R:3 pbc="T T T"
La 1.182 0.000 1.760
La -0.048 2.144 5.327
La 5.127 2.144 1.828
La 3.896 0.000 5.395
Hg 3.777 0.000 0.000
Se -1.238 0.000 3.577
Se 2.539 2.144 3.577
S 0.000 2.144 0.000
```


Entry 8:
Density functional theory data (PBE-GGA) for an optimized crystal structure of La2TbHgS5.

Geometry as extended XYZ:
```
18
Lattice="2.008 -8.580 0.000 2.008 8.580 0.000 0.000 0.000 12.320" Properties=species:S:1:pos:R:3 pbc="T T T"
La 2.008 6.528 6.160
La 2.008 6.280 1.482
La 2.008 -6.280 7.642
La 2.008 -6.528 0.000
Tb 2.008 5.167 10.107
Tb 2.008 -5.167 3.947
Hg 2.008 0.543 3.392
Hg 2.008 -0.543 9.551
S 2.008 7.788 11.034
S 2.008 3.593 5.870
S 2.008 3.286 2.016
S 2.008 2.473 10.045
S 2.008 0.088 7.172
S 2.008 -0.088 1.013
S 2.008 -2.473 3.885
S 2.008 -3.286 8.175
S 2.008 -3.593 12.030
S 2.008 -7.788 4.874
```


Entry 9:
Density functional theory data (PBE-GGA) for an optimized crystal structure of LaV2HgS.

Geometry as extended XYZ:
```
5
Lattice="4.540 0.000 0.000 0.000 4.540 0.000 0.000 0.000 5.410" Properties=species:S:1:pos:R:3 pbc="T T T"
La 0.000 0.000 0.000
V 0.000 2.270 2.705
V 2.270 0.000 2.705
Hg 2.270 2.270 0.000
S 0.000 0.000 2.705
```


Entry 10:
Density functional theory data (PBE-GGA) for an optimized crystal structure of LaHg2WS.

Geometry as extended XYZ:
```
5
Lattice="5.093 0.000 0.000 0.000 5.093 0.000 0.000 0.000 5.401" Properties=species:S:1:pos:R:3 pbc="T T T"
La 0.000 0.000 0.000
Hg 0.000 2.546 2.701
Hg 2.546 0.000 2.701
W 2.546 2.546 0.000
S 0.000 0.000 2.701
```


Entry 11:
Density functional theory data (PBE-GGA) for an optimized crystal structure of LaZrHg2S.

Geometry as extended XYZ:
```
5
Lattice="5.215 0.000 0.000 0.000 5.215 0.000 0.000 0.000 5.295" Properties=species:S:1:pos:R:3 pbc="T T T"
La 0.000 0.000 0.000
Zr 2.607 2.607 0.000
Hg 0.000 2.607 2.647
Hg 2.607 0.000 2.647
S 0.000 0.000 2.647
```


Entry 12:
Density functional theory data (PBE-GGA) for an optimized crystal structure of LaHgSb2.

Geometry as extended XYZ:
```
4
Lattice="5.768 -2.297 0.000 5.768 2.297 0.000 -1.376 0.000 4.400" Properties=species:S:1:pos:R:3 pbc="T T T"
La 0.000 0.000 0.000
Hg 1.858 0.000 2.874
Sb 4.767 0.000 2.155
Sb 8.179 0.000 0.325
```


Per-record formation energy (no corrections), meV/atom: -292, -1400, -767, 180, -940, -868, -1603, -1674, -73, 865, 238, -559